Entry 1:
VASP calculation (PBE) on crystalline NiIrRh4 at its relaxed geometry.

a = 4.672 Å, b = 4.672 Å, c = 9.190 Å
α = 104.78°, β = 104.78°, γ = 60.04°
Atoms (fractional coordinates):
Ni 0.000 0.500 0.000
Ni 0.500 0.000 0.500
Ir 0.088 0.912 0.250
Ir 0.912 0.088 0.750
Rh 0.164 0.672 0.501
Rh 0.249 0.413 0.750
Rh 0.328 0.836 0.999
Rh 0.413 0.249 0.250
Rh 0.587 0.751 0.750
Rh 0.672 0.164 0.001
Rh 0.751 0.587 0.250
Rh 0.836 0.328 0.499

E   -7.305 eV per atom
Size of the total moment   0.4 μB per cell
Offset from the most stable computed form   0.000 eV/atom
Formation enthalpy at 0 K   0.0362 eV per atom

Entry 2:
VASP calculation (PBE) on crystalline CsAlSe2Br at its relaxed geometry.

a = 5.822 Å, b = 5.822 Å, c = 6.685 Å
α = 90.00°, β = 90.00°, γ = 90.00°
Atoms (fractional coordinates):
Cs 0.000 0.000 0.000
Al 0.500 0.500 0.500
Se 0.000 0.500 0.000
Se 0.500 0.000 0.000
Br 0.000 0.000 0.500

Raw formation energy   0.62 eV/atom
E   -2.025 eV per atom
Size of the total moment   0.6 μB per cell
Offset from the most stable computed form   1.400 eV/atom